Record 1
Compound: PmTlIr
Source: OQMD via LeMat-Bulk
Functional: PBE
Structure: relaxed

It has space group F-43m (No. 216), with a = 6.777 Å, b = 6.777 Å, c = 6.777 Å, α = 90.00°, β = 90.00° and γ = 90.00°. The distinct sites, in fractional coordinates, are Pm at (0.000, 0.000, 0.000), Tl at (0.250, 0.250, 0.750) and Ir at (0.000, 0.000, 0.500).

The calculation puts the electronic total energy at -5.09 eV/atom.

---

Record 2
Compound: PmIrW
Source: OQMD via LeMat-Bulk
Functional: PBE
Structure: relaxed

It has space group F-43m (No. 216), with a = 6.500 Å, b = 6.500 Å, c = 6.500 Å, α = 90.00°, β = 90.00° and γ = 90.00°. The distinct sites, in fractional coordinates, are Pm at (0.000, 0.000, 0.000), Ir at (0.250, 0.250, 0.250) and W at (0.000, 0.000, 0.500).

The calculation puts the electronic total energy at -8.39 eV/atom. The value obtained for the energy above the most stable polymorph in this dataset is 0 meV per atom. The value obtained for the formation energy from the elements is 0.462 eV/atom.

---

Record 3
Compound: PmIrW
Source: OQMD via LeMat-Bulk
Functional: PBE
Structure: relaxed

It has space group F-43m (No. 216), with a = 6.536 Å, b = 6.536 Å, c = 6.536 Å, α = 90.00°, β = 90.00° and γ = 90.00°. The distinct sites, in fractional coordinates, are Pm at (0.000, 0.000, 0.000), Ir at (0.250, 0.250, 0.750) and W at (0.250, 0.250, 0.250).

The calculation puts the electronic total energy at -7.31 eV/atom. The value obtained for the energy above the most stable polymorph in this dataset is 1081 meV per atom. The value obtained for the formation energy from the elements is 1.543 eV/atom.

---

Record 4
Compound: Pr5Ir2
Source: OQMD via LeMat-Bulk
Functional: PBE
Structure: relaxed

It has space group C2/c (No. 15), with a = 16.767 Å, b = 6.722 Å, c = 7.387 Å, α = 90.00°, β = 96.82° and γ = 90.00°. The distinct sites, in fractional coordinates, are Pr at (0.000, 0.071, 0.250), Pr at (0.093, 0.392, 0.920), Pr at (0.218, 0.071, 0.316) and Ir at (0.112, 0.206, 0.577).

The calculation puts the electronic total energy at -6.43 eV/atom. The value obtained for the formation energy from the elements is -0.486 eV/atom.

---

Record 5
Compound: PrIr
Source: OQMD via LeMat-Bulk
Functional: PBE
Structure: relaxed

It has space group P-6m2 (No. 187), with a = 3.5580 Å, b = 3.5580 Å, c = 4.2682 Å, α = 90.00°, β = 90.00° and γ = 120.00°. The distinct sites, in fractional coordinates, are Pr at (0.0000, 0.0000, 0.0000) and Ir at (0.3333, 0.6667, 0.5000).

The calculation puts the electronic total energy at -6.78 eV/atom. The value obtained for the formation energy from the elements is 0.030 eV/atom.

---

Record 6
Compound: PrIr
Source: OQMD via LeMat-Bulk
Functional: PBE
Structure: relaxed

It has space group P6_3/mmc (No. 194), with a = 3.9958 Å, b = 3.9958 Å, c = 7.3171 Å, α = 90.00°, β = 90.00° and γ = 120.00°. The distinct sites, in fractional coordinates, are Pr at (0.0000, 0.0000, 0.0000) and Ir at (0.3333, 0.6667, 0.2500).

The calculation puts the electronic total energy at -7.03 eV/atom. The value obtained for the formation energy from the elements is -0.217 eV/atom.

---

Record 7
Compound: Pr2Ir
Source: OQMD via LeMat-Bulk
Functional: PBE
Structure: relaxed

It has space group Fd-3m (No. 227, origin choice 2), with a = 12.360 Å, b = 12.360 Å, c = 12.360 Å, α = 90.00°, β = 90.00° and γ = 90.00°. The distinct sites, in fractional coordinates, are Pr at (0.000, 0.000, 0.000) and Ir at (0.125, 0.125, 0.125).

The calculation puts the electronic total energy at -5.39 eV/atom. The value obtained for the formation energy from the elements is 0.741 eV/atom.

---

Record 8
Compound: Pr2Ir
Source: OQMD via LeMat-Bulk
Functional: PBE
Structure: relaxed

It has space group P-62m (No. 189), with a = 8.0108 Å, b = 8.0108 Å, c = 4.3108 Å, α = 90.00°, β = 90.00° and γ = 120.00°. The distinct sites, in fractional coordinates, are Pr at (0.0000, 0.4158, 0.0000), Pr at (0.0000, 0.7434, 0.5000), Ir at (0.0000, 0.0000, 0.0000) and Ir at (0.3333, 0.6667, 0.5000).

The calculation puts the electronic total energy at -6.58 eV/atom. The value obtained for the formation energy from the elements is -0.444 eV/atom.